NaAsS2N: relaxed, PBE-GGA.

**Crystal system**: tetragonal
**Formation energy without anion corrections**: 450 meV per atom
**Magnetization**: 1.332 μB/cell
**SG**: No. 123

POSCAR file:
```
NaAsS2N
1.0
4.8966 0.0000 0.0000
0.0000 4.8966 0.0000
0.0000 0.0000 3.8341
Na N As S
1 1 1 2
Direct
0.5000 0.5000 0.5000
0.0000 0.0000 0.5000
0.0000 0.0000 0.0000
0.0000 0.5000 0.0000
0.5000 0.0000 0.0000
```

=====

TbHfOsPt: relaxed, PBE-GGA.

**Crystal system**: cubic
**E_form**: -660 meV/atom
**Magnetization**: 0.000 μB/cell
**SG**: No. 216

POSCAR file:
```
TbHfOsPt
1.0
4.7701 0.0000 0.0000
2.3850 4.1310 0.0000
2.3850 1.3770 3.8948
Tb Hf Os Pt
1 1 1 1
Direct
0.0000 0.0000 0.0000
0.5000 0.5000 0.5000
0.2500 0.2500 0.2500
0.7500 0.7500 0.7500
```

=====

Li4NdRh2: relaxed, PBE-GGA.

**Crystal system**: orthorhombic
**E_form**: -215 meV/atom
**Magnetization**: 0.000 μB/cell
**SG**: No. 65

POSCAR file:
```
Li4NdRh2
1.0
3.9920 0.0000 0.0000
0.0000 3.7910 -1.1259
0.0000 0.3667 8.1797
Li Rh Nd
4 2 1
Direct
0.5000 0.8162 0.6325
0.0000 0.3231 0.6462
0.5000 0.1838 0.3675
0.0000 0.6769 0.3538
0.5000 0.5826 0.1651
0.5000 0.4174 0.8349
0.0000 0.0000 0.0000
```

=====

What is the formula in the second record?
TbHfOsPt

=====

Which value of magnetization does entry 2 give?
0.000 μB/cell